1.
Pd4PtAu7: relaxed, PBE.

Unit cell a=2.891 b=2.891 c=28.169 alpha=90.00 beta=90.00 gamma=120.00
Positions (direct):
Pd  0.333  0.667  0.166
Pd  0.333  0.667  0.418
Pd  0.667  0.333  0.582
Pd  0.667  0.333  0.834
Pt  0.000  0.000  0.000
Au  0.000  0.000  0.248
Au  0.000  0.000  0.500
Au  0.000  0.000  0.752
Au  0.333  0.667  0.665
Au  0.333  0.667  0.916
Au  0.667  0.333  0.084
Au  0.667  0.333  0.335

Values from the calculation:
The calculation puts the excess energy over the best structure of this formula in the dataset at 0.000 eV/atom. The total energy is -4.1778 eV/atom. As for the formation enthalpy at 0 K: -0.380 eV per formula unit.


2.
Sr3TlRh8: relaxed, PBE.

Unit cell a=9.420 b=9.420 c=9.420 alpha=33.57 beta=33.57 gamma=33.57
Positions (direct):
Sr  0.000  0.000  0.000
Sr  0.126  0.126  0.126
Sr  0.502  0.502  0.502
Tl  0.626  0.626  0.626
Rh  0.058  0.563  0.563
Rh  0.064  0.064  0.568
Rh  0.064  0.568  0.064
Rh  0.313  0.313  0.313
Rh  0.563  0.058  0.563
Rh  0.563  0.563  0.058
Rh  0.568  0.064  0.064
Rh  0.813  0.813  0.813

Values from the calculation:
The total energy is -5.6775 eV/atom. As for the formation enthalpy at 0 K: -1.907 eV per formula unit.